Entry 1:
CuPt2Cl after structural relaxation, computed with PBE.

Structure (CIF):
```
data_CuPt2Cl
_cell_length_a 2.795
_cell_length_b 4.790
_cell_length_c 9.478
_cell_angle_alpha 90.00
_cell_angle_beta 90.00
_cell_angle_gamma 90.00
_space_group_name_H-M_alt 'C m m m'
_space_group_IT_number 65
_space_group_name_Hall '-C 2 2'
loop_
_atom_site_label
_atom_site_type_symbol
_atom_site_fract_x
_atom_site_fract_y
_atom_site_fract_z
Cu1 Cu 0.000 0.000 0.000
Pt1 Pt 0.000 0.500 0.226
Cl1 Cl 0.000 0.000 0.500
```

Summary:
Calculated density ... 12.80 Mg/m³
Excess energy over the best structure of this formula in the dataset ... 0.61 eV per formula unit
Magnetization ... 0.0 μB per cell
Formation energy from raw total energies ... 0.28 eV/atom


Entry 2:
CuPtCl2 after structural relaxation, computed with PBE.

Structure (CIF):
```
data_CuPtCl2
_cell_length_a 5.762
_cell_length_b 5.762
_cell_length_c 10.185
_cell_angle_alpha 90.00
_cell_angle_beta 90.00
_cell_angle_gamma 90.00
_space_group_name_H-M_alt 'I -4 2 d'
_space_group_IT_number 122
_space_group_name_Hall 'I -4 2bw'
loop_
_atom_site_label
_atom_site_type_symbol
_atom_site_fract_x
_atom_site_fract_y
_atom_site_fract_z
Cu1 Cu 0.000 0.000 0.000
Pt1 Pt 0.000 0.000 0.500
Cl1 Cl 0.225 0.250 0.125
```

Summary:
Calculated density ... 6.47 Mg/m³
Excess energy over the best structure of this formula in the dataset ... 1.21 eV per formula unit
Magnetization ... 3.3 μB per cell
Formation energy from raw total energies ... 0.21 eV/atom


Entry 3:
CuPt2Cl after structural relaxation, computed with PBE.

Structure (CIF):
```
data_CuPt2Cl
_cell_length_a 2.819
_cell_length_b 4.923
_cell_length_c 9.033
_cell_angle_alpha 90.00
_cell_angle_beta 90.00
_cell_angle_gamma 90.00
_space_group_name_H-M_alt 'I m m 2'
_space_group_IT_number 44
_space_group_name_Hall 'I 2 -2'
loop_
_atom_site_label
_atom_site_type_symbol
_atom_site_fract_x
_atom_site_fract_y
_atom_site_fract_z
Cu1 Cu 0.000 0.000 0.000
Pt1 Pt 0.000 0.000 0.507
Pt2 Pt 0.000 0.500 0.746
Cl1 Cl 0.000 0.500 0.264
```

Summary:
Calculated density ... 12.96 Mg/m³
Excess energy over the best structure of this formula in the dataset ... 1.25 eV per formula unit
Magnetization ... 0.0 μB per cell
Formation energy from raw total energies ... 0.44 eV/atom


Entry 4:
CuPtCl2 after structural relaxation, computed with PBE.

Structure (CIF):
```
data_CuPtCl2
_cell_length_a 4.523
_cell_length_b 4.523
_cell_length_c 3.255
_cell_angle_alpha 90.00
_cell_angle_beta 90.00
_cell_angle_gamma 90.00
_space_group_name_H-M_alt 'P 4/m m m'
_space_group_IT_number 123
_space_group_name_Hall '-P 4 2'
loop_
_atom_site_label
_atom_site_type_symbol
_atom_site_fract_x
_atom_site_fract_y
_atom_site_fract_z
Cu1 Cu 0.000 0.000 0.000
Pt1 Pt 0.500 0.500 0.000
Cl1 Cl 0.000 0.500 0.500
```

Summary:
Calculated density ... 8.22 Mg/m³
Excess energy over the best structure of this formula in the dataset ... 2.14 eV per formula unit
Magnetization ... 0.0 μB per cell
Formation energy from raw total energies ... 0.45 eV/atom


Entry 5:
CuPtCl after structural relaxation, computed with PBE.

Structure (CIF):
```
data_CuPtCl
_cell_length_a 3.0848
_cell_length_b 3.0848
_cell_length_c 5.8119
_cell_angle_alpha 90.00
_cell_angle_beta 90.00
_cell_angle_gamma 120.00
_space_group_name_H-M_alt 'P 3 m 1'
_space_group_IT_number 156
_space_group_name_Hall 'P 3 -2"'
loop_
_atom_site_label
_atom_site_type_symbol
_atom_site_fract_x
_atom_site_fract_y
_atom_site_fract_z
Cu1 Cu 0.0000 0.0000 0.0000
Pt1 Pt 0.6667 0.3333 0.3179
Cl1 Cl 0.3333 0.6667 0.7184
```

Summary:
Calculated density ... 10.20 Mg/m³
Excess energy over the best structure of this formula in the dataset ... 0.00 eV per formula unit
Magnetization ... 0.0 μB per cell
Formation energy from raw total energies ... 0.17 eV/atom


Entry 6:
CuPt2Cl after structural relaxation, computed with PBE.

Structure (CIF):
```
data_CuPt2Cl
_cell_length_a 10.048
_cell_length_b 2.897
_cell_length_c 4.423
_cell_angle_alpha 90.00
_cell_angle_beta 93.55
_cell_angle_gamma 90.00
_space_group_name_H-M_alt 'C 1 2/m 1'
_space_group_IT_number 12
_space_group_name_Hall '-C 2y'
loop_
_atom_site_label
_atom_site_type_symbol
_atom_site_fract_x
_atom_site_fract_y
_atom_site_fract_z
Cu1 Cu 0.000 0.000 0.000
Pt1 Pt 0.214 0.500 0.238
Cl1 Cl 0.000 0.500 0.500
```

Summary:
Calculated density ... 12.64 Mg/m³
Excess energy over the best structure of this formula in the dataset ... 0.56 eV per formula unit
Magnetization ... 0.0 μB per cell
Formation energy from raw total energies ... 0.26 eV/atom


Entry 7:
Cu3PtCl9 after structural relaxation, computed with PBE.

Structure (CIF):
```
data_Cu3PtCl9
_cell_length_a 18.401
_cell_length_b 7.308
_cell_length_c 12.620
_cell_angle_alpha 90.00
_cell_angle_beta 125.26
_cell_angle_gamma 90.00
_space_group_name_H-M_alt 'C 1 c 1'
_space_group_IT_number 9
_space_group_name_Hall 'C -2yc'
loop_
_atom_site_label
_atom_site_type_symbol
_atom_site_fract_x
_atom_site_fract_y
_atom_site_fract_z
Cu1 Cu 0.000 0.031 0.000
Cu2 Cu 0.116 0.389 0.914
Cu3 Cu 0.378 0.104 0.588
Pt1 Pt 0.248 0.251 0.756
Cl1 Cl 0.060 0.110 0.898
Cl2 Cl 0.126 0.063 0.699
Cl3 Cl 0.152 0.485 0.614
Cl4 Cl 0.244 0.379 0.925
Cl5 Cl 0.252 0.123 0.586
Cl6 Cl 0.347 0.016 0.900
Cl7 Cl 0.370 0.441 0.807
Cl8 Cl 0.441 0.374 0.601
Cl9 Cl 0.486 0.027 0.792
```

Summary:
Calculated density ... 3.38 Mg/m³
Magnetization ... 0.4 μB per cell
Formation energy from raw total energies ... -0.43 eV/atom


Entry 8:
CuPtCl2 after structural relaxation, computed with PBE.

Structure (CIF):
```
data_CuPtCl2
_cell_length_a 3.207
_cell_length_b 3.708
_cell_length_c 6.663
_cell_angle_alpha 90.00
_cell_angle_beta 90.00
_cell_angle_gamma 90.00
_space_group_name_H-M_alt 'P m m m'
_space_group_IT_number 47
_space_group_name_Hall '-P 2 2'
loop_
_atom_site_label
_atom_site_type_symbol
_atom_site_fract_x
_atom_site_fract_y
_atom_site_fract_z
Cu1 Cu 0.000 0.000 0.000
Pt1 Pt 0.500 0.000 0.500
Cl1 Cl 0.000 0.500 0.500
Cl2 Cl 0.500 0.500 0.000
```

Summary:
Calculated density ... 6.91 Mg/m³
Excess energy over the best structure of this formula in the dataset ... 1.06 eV per formula unit
Magnetization ... 0.0 μB per cell
Formation energy from raw total energies ... 0.18 eV/atom